--- P ---
Material: NaSn2Te2
Method: DFT, PBE-GGA
State: optimized geometry

Properties
mass density = 5.5 g cm⁻³
magnetization = 0.0 μB/cell

abc: 8.474 8.474 4.354
angles: 90.00 90.00 90.00
Fractional coordinates of all 10 atoms:
Na 0.000 0.000 0.000
Na 0.500 0.500 0.000
Sn 0.138 0.362 0.500
Sn 0.362 0.862 0.500
Sn 0.638 0.138 0.500
Sn 0.862 0.638 0.500
Te 0.172 0.672 0.000
Te 0.328 0.172 0.000
Te 0.672 0.828 0.000
Te 0.828 0.328 0.000

=====

--- Q ---
Material: NaSn2Te2
Method: DFT, PBE-GGA
State: optimized geometry

Properties
mass density = 4.9 g cm⁻³
magnetization = 0.0 μB/cell

abc: 5.956 5.956 9.828
angles: 90.00 90.00 90.00
Fractional coordinates of all 10 atoms:
Na 0.000 0.000 0.000
Na 0.500 0.500 0.500
Sn 0.000 0.000 0.345
Sn 0.000 0.000 0.655
Sn 0.500 0.500 0.155
Sn 0.500 0.500 0.845
Te 0.000 0.500 0.250
Te 0.000 0.500 0.750
Te 0.500 0.000 0.250
Te 0.500 0.000 0.750

=====

--- R ---
Material: NaSn2Te2
Method: DFT, PBE-GGA
State: optimized geometry

Properties
mass density = 5.5 g cm⁻³
magnetization = 0.0 μB/cell

abc: 8.568 8.568 4.209
angles: 90.00 90.00 90.00
Fractional coordinates of all 10 atoms:
Na 0.000 0.000 0.000
Na 0.500 0.500 0.000
Sn 0.129 0.371 0.000
Sn 0.371 0.871 0.000
Sn 0.629 0.129 0.000
Sn 0.871 0.629 0.000
Te 0.183 0.683 0.500
Te 0.317 0.183 0.500
Te 0.683 0.817 0.500
Te 0.817 0.317 0.500

=====

Question: of the structures shown, which is the least stable? Reply: R.